Record 1
Here is a geometry-optimized Mo2PPb structure from the Alexandria database. Energies are from PBE.

Results
Fermi-level density of states: 3.2 states/eV per cell
calculated formation energy: 0.06 eV/atom
energy above the most stable polymorph in this dataset: 0.000 eV per atom

a = 3.256 Å, b = 3.256 Å, c = 6.682 Å
α = 90.00°, β = 90.00°, γ = 90.00°
Space group P4mm (No. 99)
Symmetry-distinct sites (fractional):
Mo 0.000 0.000 0.000 x1
Mo 0.500 0.500 0.257 x1
P 0.000 0.000 0.387 x1
Pb 0.500 0.500 0.719 x1

---

Record 2
Here is a geometry-optimized MoP2Pb structure from the Alexandria database. Energies are from PBE.

Results
Fermi-level density of states: 15.5 states/eV per cell
calculated formation energy: 0.93 eV/atom
energy above the most stable polymorph in this dataset: 1.017 eV per atom

a = 6.596 Å, b = 6.596 Å, c = 6.596 Å
α = 90.00°, β = 90.00°, γ = 90.00°
Space group F-43m (No. 216)
Symmetry-distinct sites (fractional):
Mo 0.000 0.000 0.000 x4
P 0.000 0.000 0.500 x4
P 0.250 0.250 0.750 x4
Pb 0.250 0.250 0.250 x4

---

Record 3
Here is a geometry-optimized MoPPb3 structure from the Alexandria database. Energies are from PBE.

Results
Fermi-level density of states: 3.0 states/eV per cell
calculated formation energy: 0.85 eV/atom
energy above the most stable polymorph in this dataset: 0.000 eV per atom

a = 5.396 Å, b = 5.396 Å, c = 5.396 Å
α = 90.00°, β = 90.00°, γ = 90.00°
Space group Pm-3m (No. 221)
Symmetry-distinct sites (fractional):
Mo 0.000 0.000 0.000 x1
P 0.500 0.500 0.500 x1
Pb 0.000 0.000 0.500 x3

---

Record 4
Here is a geometry-optimized MoPPb2 structure from the Alexandria database. Energies are from PBE.

Results
Fermi-level density of states: 7.9 states/eV per cell
calculated formation energy: 0.85 eV/atom

a = 3.2073 Å, b = 3.2073 Å, c = 29.8193 Å
α = 90.00°, β = 90.00°, γ = 120.00°
Space group R-3m (No. 166, hexagonal axes)
Symmetry-distinct sites (fractional):
Mo 0.0000 0.0000 0.0000 x3
P 0.0000 0.0000 0.5000 x3
Pb 0.0000 0.0000 0.2541 x6

---

Record 5
Here is a geometry-optimized MoPPb2 structure from the Alexandria database. Energies are from PBE.

Results
Fermi-level density of states: 7.7 states/eV per cell
calculated formation energy: 0.77 eV/atom

a = 6.946 Å, b = 6.973 Å, c = 3.525 Å
α = 90.00°, β = 90.00°, γ = 90.00°
Space group Cmmm (No. 65)
Symmetry-distinct sites (fractional):
Mo 0.000 0.000 0.000 x2
P 0.000 0.500 0.000 x2
Pb 0.250 0.250 0.500 x4

---

Record 6
Here is a geometry-optimized MoP2Pb structure from the Alexandria database. Energies are from PBE.

Results
Fermi-level density of states: 3.0 states/eV per cell
calculated formation energy: -0.01 eV/atom
energy above the most stable polymorph in this dataset: 0.081 eV per atom

a = 3.155 Å, b = 3.438 Å, c = 14.700 Å
α = 90.00°, β = 90.00°, γ = 90.00°
Space group Imm2 (No. 44)
Symmetry-distinct sites (fractional):
Mo 0.000 0.000 0.000 x2
P 0.000 0.000 0.436 x2
P 0.000 0.500 0.622 x2
Pb 0.000 0.500 0.273 x2

---

Record 7
Here is a geometry-optimized Mo2PPb structure from the Alexandria database. Energies are from PBE.

Results
Fermi-level density of states: 9.0 states/eV per cell
calculated formation energy: 0.27 eV/atom
energy above the most stable polymorph in this dataset: 0.214 eV per atom

a = 3.1345 Å, b = 3.1345 Å, c = 26.3821 Å
α = 90.00°, β = 90.00°, γ = 120.00°
Space group R3m (No. 160, hexagonal axes)
Symmetry-distinct sites (fractional):
Mo 0.0000 0.0000 0.0000 x3
Mo 0.0000 0.0000 0.2555 x3
P 0.0000 0.0000 0.5272 x3
Pb 0.0000 0.0000 0.7599 x3

---

Record 8
Here is a geometry-optimized MoP2Pb structure from the Alexandria database. Energies are from PBE.

Results
Fermi-level density of states: 6.6 states/eV per cell
calculated formation energy: 0.59 eV/atom
energy above the most stable polymorph in this dataset: 0.679 eV per atom

a = 4.740 Å, b = 4.740 Å, c = 6.348 Å
α = 90.00°, β = 90.00°, γ = 90.00°
Space group I4/mmm (No. 139)
Symmetry-distinct sites (fractional):
Mo 0.000 0.000 0.000 x2
P 0.000 0.500 0.250 x4
Pb 0.000 0.000 0.500 x2

---

Record 9
Here is a geometry-optimized MoP2Pb structure from the Alexandria database. Energies are from PBE.

Results
Fermi-level density of states: 4.9 states/eV per cell
calculated formation energy: 0.77 eV/atom
energy above the most stable polymorph in this dataset: 0.855 eV per atom

a = 4.002 Å, b = 4.002 Å, c = 9.204 Å
α = 90.00°, β = 90.00°, γ = 90.00°
Space group I-4m2 (No. 119)
Symmetry-distinct sites (fractional):
Mo 0.000 0.000 0.000 x2
P 0.000 0.000 0.500 x2
P 0.000 0.500 0.750 x2
Pb 0.000 0.500 0.250 x2

---

Record 10
Here is a geometry-optimized MoP2Pb structure from the Alexandria database. Energies are from PBE.

Results
Fermi-level density of states: 5.4 states/eV per cell
calculated formation energy: 0.08 eV/atom
energy above the most stable polymorph in this dataset: 0.165 eV per atom

a = 8.031 Å, b = 3.260 Å, c = 6.152 Å
α = 90.00°, β = 96.72°, γ = 90.00°
Space group C2/m (No. 12)
Symmetry-distinct sites (fractional):
Mo 0.000 0.000 0.000 x2
P 0.220 0.500 0.141 x4
Pb 0.000 0.500 0.500 x2

---

Record 11
Here is a geometry-optimized MoPPb2 structure from the Alexandria database. Energies are from PBE.

Results
Fermi-level density of states: 4.8 states/eV per cell
calculated formation energy: 0.31 eV/atom

a = 3.447 Å, b = 4.115 Å, c = 13.759 Å
α = 90.00°, β = 90.00°, γ = 90.00°
Space group Imm2 (No. 44)
Symmetry-distinct sites (fractional):
Mo 0.000 0.000 0.000 x2
P 0.000 0.500 0.618 x2
Pb 0.000 0.000 0.412 x2
Pb 0.000 0.500 0.204 x2

---

Record 12
Here is a geometry-optimized Mo3PPb structure from the Alexandria database. Energies are from PBE.

Results
Fermi-level density of states: 13.1 states/eV per cell
calculated formation energy: 2.87 eV/atom
energy above the most stable polymorph in this dataset: 2.340 eV per atom

a = 5.015 Å, b = 5.015 Å, c = 5.015 Å
α = 90.00°, β = 90.00°, γ = 90.00°
Space group Pm-3m (No. 221)
Symmetry-distinct sites (fractional):
Mo 0.000 0.000 0.500 x3
P 0.500 0.500 0.500 x1
Pb 0.000 0.000 0.000 x1

---

no.,V (Å³ per cell)
1,71
2,287
3,157
4,266
5,171
6,159
7,224
8,143
9,147
10,160
11,195
12,126